HfBeRu: optimized geometry, PBE.

Output
Its calculated volume is 15.6 Å³ per atom. The total magnetization is 0.0 μB/cell. For the calculated formation energy, the calculation gives -147 meV per atom. As for the crystal system: orthorhombic. For the energy above the most stable polymorph in this dataset, the calculation gives 0.249 eV per atom. The value obtained for the total energy is -7.80 eV/atom.

Geometry as CIF:
```
data_HfBeRu
_chemical_formula_sum 'Hf4 Be4 Ru4'
_cell_length_a 4.841
_cell_length_b 7.498
_cell_length_c 5.159
_cell_angle_alpha 90.00
_cell_angle_beta 90.00
_cell_angle_gamma 90.00
_space_group_name_H-M_alt 'C m c m'
_space_group_IT_number 63
_space_group_name_Hall '-C 2c 2'
loop_
_atom_site_label
_atom_site_type_symbol
_atom_site_fract_x
_atom_site_fract_y
_atom_site_fract_z
_atom_site_occupancy
Hf1 Hf 0.000 0.149 0.250 1
Be1 Be 0.000 0.500 0.000 1
Ru1 Ru 0.000 0.221 0.750 1
```

YGa4CuRu2: optimized geometry, PBE.

Output
Its calculated volume is 16.6 Å³ per atom. The total magnetization is 0.0 μB/cell. For the calculated formation energy, the calculation gives -340 meV per atom. As for the crystal system: trigonal. The value obtained for the total energy is -5.49 eV/atom.

Geometry as CIF:
```
data_YGa4CuRu2
_chemical_formula_sum 'Y3 Ga12 Cu3 Ru6'
_cell_length_a 4.2503
_cell_length_b 4.2503
_cell_length_c 25.4347
_cell_angle_alpha 90.00
_cell_angle_beta 90.00
_cell_angle_gamma 120.00
_space_group_name_H-M_alt 'R -3 m'
_space_group_IT_number 166
_space_group_name_Hall '-R 3 2"'
loop_
_atom_site_label
_atom_site_type_symbol
_atom_site_fract_x
_atom_site_fract_y
_atom_site_fract_z
_atom_site_occupancy
Y1 Y 0.0000 0.0000 0.0000 1
Ga1 Ga 0.0000 0.0000 0.1290 1
Ga2 Ga 0.0000 0.0000 0.3984 1
Cu1 Cu 0.0000 0.0000 0.5000 1
Ru1 Ru 0.0000 0.0000 0.2308 1
```

Pm6Tm: optimized geometry, PBE.

Output
Its calculated volume is 38.1 Å³ per atom. The total magnetization is 0.0 μB/cell. For the calculated formation energy, the calculation gives 1319 meV per atom. As for the crystal system: cubic. For the energy above the most stable polymorph in this dataset, the calculation gives 1.070 eV per atom. The value obtained for the total energy is -3.39 eV/atom.

Geometry as CIF:
```
data_Pm6Tm
_chemical_formula_sum 'Pm12 Tm2'
_cell_length_a 8.111
_cell_length_b 8.111
_cell_length_c 8.111
_cell_angle_alpha 90.00
_cell_angle_beta 90.00
_cell_angle_gamma 90.00
_space_group_name_H-M_alt 'I m -3 m'
_space_group_IT_number 229
_space_group_name_Hall '-I 4 2 3'
loop_
_atom_site_label
_atom_site_type_symbol
_atom_site_fract_x
_atom_site_fract_y
_atom_site_fract_z
_atom_site_occupancy
Pm1 Pm 0.000 0.250 0.500 1
Tm1 Tm 0.000 0.000 0.000 1
```

HoTlSb2: optimized geometry, PBE.

Output
Its calculated volume is 31.8 Å³ per atom. The total magnetization is 0.0 μB/cell. As for the crystal system: trigonal. For the energy above the most stable polymorph in this dataset, the calculation gives 0.164 eV per atom. The value obtained for the total energy is -4.10 eV/atom.

Geometry as CIF:
```
data_HoTlSb2
_chemical_formula_sum 'Ho3 Tl3 Sb6'
_cell_length_a 4.2971
_cell_length_b 4.2971
_cell_length_c 23.8597
_cell_angle_alpha 90.00
_cell_angle_beta 90.00
_cell_angle_gamma 120.00
_space_group_name_H-M_alt 'R -3 m'
_space_group_IT_number 166
_space_group_name_Hall '-R 3 2"'
loop_
_atom_site_label
_atom_site_type_symbol
_atom_site_fract_x
_atom_site_fract_y
_atom_site_fract_z
_atom_site_occupancy
Ho1 Ho 0.0000 0.0000 0.0000 1
Tl1 Tl 0.0000 0.0000 0.5000 1
Sb1 Sb 0.0000 0.0000 0.2566 1
```

LiYErPb: optimized geometry, PBE.

Output
Its calculated volume is 25.8 Å³ per atom. The total magnetization is 0.0 μB/cell. For the calculated formation energy, the calculation gives -268 meV per atom. As for the crystal system: cubic. The value obtained for the total energy is -4.43 eV/atom.

Geometry as CIF:
```
data_LiYErPb
_chemical_formula_sum 'Li4 Y4 Er4 Pb4'
_cell_length_a 7.444
_cell_length_b 7.444
_cell_length_c 7.444
_cell_angle_alpha 90.00
_cell_angle_beta 90.00
_cell_angle_gamma 90.00
_space_group_name_H-M_alt 'F -4 3 m'
_space_group_IT_number 216
_space_group_name_Hall 'F -4 2 3'
loop_
_atom_site_label
_atom_site_type_symbol
_atom_site_fract_x
_atom_site_fract_y
_atom_site_fract_z
_atom_site_occupancy
Li1 Li 0.000 0.000 0.000 1
Y1 Y 0.250 0.250 0.250 1
Er1 Er 0.250 0.250 0.750 1
Pb1 Pb 0.000 0.000 0.500 1
```

TcSb2Se: optimized geometry, PBE.

Output
Its calculated volume is 20.5 Å³ per atom. The total magnetization is 0.0 μB/cell. As for the crystal system: tetragonal. The value obtained for the total energy is -5.03 eV/atom.

Geometry as CIF:
```
data_TcSb2Se
_chemical_formula_sum 'Tc2 Sb4 Se2'
_cell_length_a 4.882
_cell_length_b 4.882
_cell_length_c 6.883
_cell_angle_alpha 90.00
_cell_angle_beta 90.00
_cell_angle_gamma 90.00
_space_group_name_H-M_alt 'I -4 m 2'
_space_group_IT_number 119
_space_group_name_Hall 'I -4 -2'
loop_
_atom_site_label
_atom_site_type_symbol
_atom_site_fract_x
_atom_site_fract_y
_atom_site_fract_z
_atom_site_occupancy
Tc1 Tc 0.000 0.000 0.000 1
Sb1 Sb 0.000 0.000 0.500 1
Sb2 Sb 0.000 0.500 0.750 1
Se1 Se 0.000 0.500 0.250 1
```

Ca3PrTl4: optimized geometry, PBE.

Output
Its calculated volume is 29.6 Å³ per atom. The total magnetization is 0.0 μB/cell. For the calculated formation energy, the calculation gives -431 meV per atom. As for the crystal system: tetragonal. The value obtained for the total energy is -2.96 eV/atom.

Geometry as CIF:
```
data_Ca3PrTl4
_chemical_formula_sum 'Ca3 Pr1 Tl4'
_cell_length_a 3.870
_cell_length_b 3.870
_cell_length_c 15.813
_cell_angle_alpha 90.00
_cell_angle_beta 90.00
_cell_angle_gamma 90.00
_space_group_name_H-M_alt 'P 4/m m m'
_space_group_IT_number 123
_space_group_name_Hall '-P 4 2'
loop_
_atom_site_label
_atom_site_type_symbol
_atom_site_fract_x
_atom_site_fract_y
_atom_site_fract_z
_atom_site_occupancy
Ca1 Ca 0.000 0.000 0.000 1
Ca2 Ca 0.000 0.000 0.246 1
Pr1 Pr 0.000 0.000 0.500 1
Tl1 Tl 0.500 0.500 0.124 1
Tl2 Tl 0.500 0.500 0.370 1
```

MnPH2: optimized geometry, PBE.

Output
Its calculated volume is 9.0 Å³ per atom. The total magnetization is 13.4 μB/cell. As for the crystal system: tetragonal. For the energy above the most stable polymorph in this dataset, the calculation gives 0.473 eV per atom. The value obtained for the total energy is -4.95 eV/atom.

Geometry as CIF:
```
data_MnPH2
_chemical_formula_sum 'Mn4 P4 H8'
_cell_length_a 3.409
_cell_length_b 3.409
_cell_length_c 12.408
_cell_angle_alpha 90.00
_cell_angle_beta 90.00
_cell_angle_gamma 90.00
_space_group_name_H-M_alt 'I -4 2 d'
_space_group_IT_number 122
_space_group_name_Hall 'I -4 2bw'
loop_
_atom_site_label
_atom_site_type_symbol
_atom_site_fract_x
_atom_site_fract_y
_atom_site_fract_z
_atom_site_occupancy
Mn1 Mn 0.000 0.000 0.000 1
P1 P 0.000 0.000 0.500 1
H1 H 0.235 0.250 0.625 1
```

Li2ScSbS4: optimized geometry, PBE.

Output
Its calculated volume is 19.4 Å³ per atom. The total magnetization is 0.0 μB/cell. As for the crystal system: monoclinic. The value obtained for the total energy is -5.05 eV/atom.

Geometry as CIF:
```
data_Li2ScSbS4
_chemical_formula_sum 'Li2 Sc1 Sb1 S4'
_cell_length_a 6.522
_cell_length_b 3.793
_cell_length_c 6.658
_cell_angle_alpha 90.00
_cell_angle_beta 109.82
_cell_angle_gamma 90.00
_space_group_name_H-M_alt 'P 1 2/m 1'
_space_group_IT_number 10
loop_
_space_group_symop_operation_xyz
'x,y,z'
'-x,-y,-z'
'-x,y,-z'
'x,-y,z'
loop_
_atom_site_label
_atom_site_type_symbol
_atom_site_fract_x
_atom_site_fract_y
_atom_site_fract_z
_atom_site_occupancy
Li1 Li 0.000 0.000 0.000 1
Li2 Li 0.000 0.500 0.500 1
Sc1 Sc 0.500 0.000 0.500 1
Sb1 Sb 0.500 0.500 0.000 1
S1 S 0.250 0.000 0.735 1
S2 S 0.259 0.500 0.262 1
```

AcGa5PdPt2: optimized geometry, PBE.

Output
Its calculated volume is 21.8 Å³ per atom. The total magnetization is 0.0 μB/cell. For the calculated formation energy, the calculation gives -531 meV per atom. As for the crystal system: tetragonal. The value obtained for the total energy is -4.59 eV/atom.

Geometry as CIF:
```
data_AcGa5PdPt2
_chemical_formula_sum 'Ac1 Ga5 Pd1 Pt2'
_cell_length_a 4.468
_cell_length_b 4.468
_cell_length_c 9.826
_cell_angle_alpha 90.00
_cell_angle_beta 90.00
_cell_angle_gamma 90.00
_space_group_name_H-M_alt 'P 4/m m m'
_space_group_IT_number 123
_space_group_name_Hall '-P 4 2'
loop_
_atom_site_label
_atom_site_type_symbol
_atom_site_fract_x
_atom_site_fract_y
_atom_site_fract_z
_atom_site_occupancy
Ac1 Ac 0.000 0.000 0.000 1
Ga1 Ga 0.000 0.500 0.355 1
Ga2 Ga 0.500 0.500 0.000 1
Pd1 Pd 0.000 0.000 0.500 1
Pt1 Pt 0.500 0.500 0.238 1
```

Please write out number 6 again, unchanged.
TcSb2Se: optimized geometry, PBE.

Output
Its calculated volume is 20.5 Å³ per atom. The total magnetization is 0.0 μB/cell. As for the crystal system: tetragonal. The value obtained for the total energy is -5.03 eV/atom.

Geometry as CIF:
```
data_TcSb2Se
_chemical_formula_sum 'Tc2 Sb4 Se2'
_cell_length_a 4.882
_cell_length_b 4.882
_cell_length_c 6.883
_cell_angle_alpha 90.00
_cell_angle_beta 90.00
_cell_angle_gamma 90.00
_space_group_name_H-M_alt 'I -4 m 2'
_space_group_IT_number 119
_space_group_name_Hall 'I -4 -2'
loop_
_atom_site_label
_atom_site_type_symbol
_atom_site_fract_x
_atom_site_fract_y
_atom_site_fract_z
_atom_site_occupancy
Tc1 Tc 0.000 0.000 0.000 1
Sb1 Sb 0.000 0.000 0.500 1
Sb2 Sb 0.000 0.500 0.750 1
Se1 Se 0.000 0.500 0.250 1
```

Please write out number 10 again, unchanged.
AcGa5PdPt2: optimized geometry, PBE.

Output
Its calculated volume is 21.8 Å³ per atom. The total magnetization is 0.0 μB/cell. For the calculated formation energy, the calculation gives -531 meV per atom. As for the crystal system: tetragonal. The value obtained for the total energy is -4.59 eV/atom.

Geometry as CIF:
```
data_AcGa5PdPt2
_chemical_formula_sum 'Ac1 Ga5 Pd1 Pt2'
_cell_length_a 4.468
_cell_length_b 4.468
_cell_length_c 9.826
_cell_angle_alpha 90.00
_cell_angle_beta 90.00
_cell_angle_gamma 90.00
_space_group_name_H-M_alt 'P 4/m m m'
_space_group_IT_number 123
_space_group_name_Hall '-P 4 2'
loop_
_atom_site_label
_atom_site_type_symbol
_atom_site_fract_x
_atom_site_fract_y
_atom_site_fract_z
_atom_site_occupancy
Ac1 Ac 0.000 0.000 0.000 1
Ga1 Ga 0.000 0.500 0.355 1
Ga2 Ga 0.500 0.500 0.000 1
Pd1 Pd 0.000 0.000 0.500 1
Pt1 Pt 0.500 0.500 0.238 1
```